## LiTaGa2O6 (PBE-GGA)

Data for a relaxed LiTaGa2O6 crystal.

**Space-group type**: R3, No. 146
**Calculated volume**: 10.7 Å³ per atom
**Density of states at the Fermi level**: 0.00 states/eV/f.u.
**Formation energy from raw total energies**: -2182 meV per atom

Lattice parameters (Å, degrees): 5.139 5.139 5.528 62.30 62.30 60.00
Fractional positions:
O (0.716, 0.135, 0.756)
O (0.392, 0.716, 0.756)
O (0.135, 0.392, 0.756)
O (0.241, 0.915, 0.242)
O (0.602, 0.241, 0.242)
O (0.915, 0.602, 0.242)
Ga (0.517, 0.517, 0.449)
Ga (0.028, 0.028, 0.915)
Li (0.804, 0.804, 0.588)
Ta (0.310, 0.310, 0.070)